Record 1
Here is crystalline LiNbSe4 at its relaxed geometry from the Alexandria database. Energies are from PBE.

For the total energy, the calculation gives -29.60 eV/f.u.

The structure belongs to space group P2_1/c (No. 14); the cell edges are 6.4381, 6.5868 and 6.5923 Å and the angles 90.00°, 93.63° and 90.00°. The asymmetric unit holds Li at (0.0000, 0.0000, 0.0000), Nb at (0.5000, 0.0000, 0.5000), Se at (0.1082, 0.1060, 0.4021) and Se at (0.4335, 0.6450, 0.3456).

---

Record 2
Here is crystalline LiNbSe3 at its relaxed geometry from the Alexandria database. Energies are from PBE.

For the total energy, the calculation gives -23.80 eV/f.u.

The structure belongs to space group R3m (No. 160, hexagonal axes); the cell edges are 7.7436, 7.7436 and 10.8521 Å and the angles 90.00°, 90.00° and 120.00°. The asymmetric unit holds Li at (0.0000, 0.0000, 0.0000), Nb at (0.0000, 0.0000, 0.5037) and Se at (0.1707, 0.3414, 0.0932).

---

Record 3
Here is crystalline LiNbSe3 at its relaxed geometry from the Alexandria database. Energies are from PBE.

For the total energy, the calculation gives -26.22 eV/f.u.

The structure belongs to space group Pnma (No. 62); the cell edges are 6.8585, 9.5447 and 6.5425 Å and the angles 90.00°, 90.00° and 90.00°. The asymmetric unit holds Li at (0.1205, 0.2500, 0.0440), Nb at (0.0000, 0.0000, 0.5000), Se at (0.0304, 0.7500, 0.3512) and Se at (0.1734, 0.5730, 0.8342).

---

Record 4
Here is crystalline LiNbSe3 at its relaxed geometry from the Alexandria database. Energies are from PBE.

For the total energy, the calculation gives -24.48 eV/f.u.

The structure belongs to space group P4mm (No. 99); the cell edges are 4.0716, 4.0716 and 7.0814 Å and the angles 90.00°, 90.00° and 90.00°. The asymmetric unit holds Li at (0.0000, 0.0000, 0.0000), Nb at (0.5000, 0.5000, 0.4795), Se at (0.0000, 0.0000, 0.6509) and Se at (0.0000, 0.5000, 0.2472).

---

Record 5
Here is crystalline LiNbSe3 at its relaxed geometry from the Alexandria database. Energies are from PBE.

For the total energy, the calculation gives -24.99 eV/f.u.

The structure belongs to space group P6_3/mmc (No. 194); the cell edges are 4.3641, 4.3641 and 15.0632 Å and the angles 90.00°, 90.00° and 120.00°. The asymmetric unit holds Li at (0.0000, 0.0000, 0.0000), Nb at (0.3333, 0.6667, 0.2500), Se at (0.0000, 0.0000, 0.2500) and Se at (0.3333, 0.6667, 0.0837).

---

Record 6
Here is crystalline LiNb2Se4 at its relaxed geometry from the Alexandria database. Energies are from PBE.

For the total energy, the calculation gives -40.95 eV/f.u.

The structure belongs to space group Cmcm (No. 63); the cell edges are 3.7391, 12.2146 and 13.0773 Å and the angles 90.00°, 90.00° and 90.00°. The asymmetric unit holds Li at (0.0000, 0.1215, 0.2500), Nb at (0.0000, 0.3772, 0.0658), Se at (0.0000, 0.0000, 0.0000), Se at (0.0000, 0.2730, 0.6157) and Se at (0.0000, 0.4526, 0.2500).

---

Record 7
Here is crystalline LiNbSe3 at its relaxed geometry from the Alexandria database. Energies are from PBE.

For the total energy, the calculation gives -26.73 eV/f.u.

The structure belongs to space group P1 (No. 1); the cell edges are 6.3901, 6.7452 and 6.8603 Å and the angles 119.00°, 103.12° and 91.14°. The asymmetric unit holds Li at (0.0000, 0.0000, 0.0000), Li at (0.3743, 0.7063, 0.4104), Nb at (0.4450, 0.3365, 0.7081), Nb at (0.9389, 0.3325, 0.6990), Se at (0.1074, 0.0238, 0.4027), Se at (0.1926, 0.6371, 0.7062), Se at (0.2579, 0.3289, 0.0074), Se at (0.6002, 0.0376, 0.3919), Se at (0.6915, 0.6379, 0.7014) and Se at (0.7642, 0.3427, 0.0123).

---

Record 8
Here is crystalline LiNbSe3 at its relaxed geometry from the Alexandria database. Energies are from PBE.

For the total energy, the calculation gives -24.90 eV/f.u.

The structure belongs to space group Pm-3m (No. 221); the cell edges are 5.0889, 5.0889 and 5.0889 Å and the angles 90.00°, 90.00° and 90.00°. The asymmetric unit holds Li at (0.0000, 0.0000, 0.0000), Nb at (0.5000, 0.5000, 0.5000) and Se at (0.0000, 0.5000, 0.5000).

---

Record 9
Here is crystalline LiNbSe3 at its relaxed geometry from the Alexandria database. Energies are from PBE.

For the total energy, the calculation gives -24.24 eV/f.u.

The structure belongs to space group R3m (No. 160, hexagonal axes); the cell edges are 7.2511, 7.2511 and 10.3670 Å and the angles 90.00°, 90.00° and 120.00°. The asymmetric unit holds Li at (0.0000, 0.0000, 0.0000), Nb at (0.0000, 0.0000, 0.7164) and Se at (0.0002, 0.5001, 0.4906).

---

Record 10
Here is crystalline LiNbSe3 at its relaxed geometry from the Alexandria database. Energies are from PBE.

For the total energy, the calculation gives -25.84 eV/f.u.

The structure belongs to space group C2/m (No. 12); the cell edges are 17.8809, 4.3221 and 7.3696 Å and the angles 90.00°, 91.49° and 90.00°. The asymmetric unit holds Li at (0.0913, 0.0000, 0.2800), Nb at (0.1879, 0.5000, 0.0697), Se at (0.0379, 0.5000, 0.1409), Se at (0.1647, 0.0000, 0.8981) and Se at (0.1817, 0.5000, 0.3958).

---

Record 11
Here is crystalline LiNbSe3 at its relaxed geometry from the Alexandria database. Energies are from PBE.

For the total energy, the calculation gives -25.96 eV/f.u.

The structure belongs to space group P2_1/c (No. 14); the cell edges are 7.8896, 6.9985 and 9.6916 Å and the angles 90.00°, 120.63° and 90.00°. The asymmetric unit holds Li at (0.1297, 0.1992, 0.0845), Nb at (0.2425, 0.6617, 0.8872), Se at (0.0883, 0.0224, 0.7471), Se at (0.2613, 0.6548, 0.6184) and Se at (0.3697, 0.1710, 0.5013).

---

Record 12
Here is crystalline LiNbSe3 at its relaxed geometry from the Alexandria database. Energies are from PBE.

For the total energy, the calculation gives -25.85 eV/f.u.

The structure belongs to space group P2_1/m (No. 11); the cell edges are 3.9778, 6.7886 and 8.4167 Å and the angles 90.00°, 99.07° and 90.00°. The asymmetric unit holds Li at (0.0733, 0.2500, 0.4058), Nb at (0.2835, 0.7500, 0.1055), Se at (0.1974, 0.5151, 0.8470) and Se at (0.3655, 0.7500, 0.4116).